(one)
La2RhF | PBE-GGA | optimized geometry

a b c (Å): 7.752 7.752 7.752
angles (deg): 135.86 135.86 64.20
Atoms (fractional coordinates):
La: 0.099 0.625 0.974
La: 0.375 0.349 0.474
La: 0.651 0.125 0.026
La: 0.875 0.901 0.526
Rh: 0.250 0.750 0.500
Rh: 0.500 0.500 0.000
F: 0.000 0.000 0.000
F: 0.750 0.250 0.500

Results
size of the total moment	0.0	μB per formula unit
space group	I-42d

(two)
La2RhF | PBE-GGA | optimized geometry

a b c (Å): 8.387 8.387 8.387
angles (deg): 28.29 28.29 28.29
Atoms (fractional coordinates):
La: 0.000 0.000 0.000
La: 0.198 0.198 0.198
Rh: 0.606 0.606 0.606
F: 0.822 0.822 0.822

Results
size of the total moment	0.0	μB per formula unit
space group	R3m

(three)
La2RhF | PBE-GGA | optimized geometry

a b c (Å): 4.984 4.984 4.984
angles (deg): 60.00 60.00 60.00
Atoms (fractional coordinates):
La: 0.250 0.250 0.250
La: 0.750 0.750 0.750
Rh: 0.000 0.000 0.000
F: 0.500 0.500 0.500

Results
size of the total moment	0.0	μB per formula unit
space group	Fm-3m

(four)
La2RhF | PBE-GGA | optimized geometry

a b c (Å): 8.156 8.156 8.156
angles (deg): 30.36 30.36 30.36
Atoms (fractional coordinates):
La: 0.101 0.101 0.101
La: 0.899 0.899 0.899
Rh: 0.500 0.500 0.500
F: 0.000 0.000 0.000

Results
size of the total moment	0.0	μB per formula unit
space group	R-3m

Most favorable structure: (four). The second most favorable one is 10.2 kJ/mol of atoms above it.

(one)
LaTlRh2F | PBE-GGA | optimized geometry

a b c (Å): 5.028 5.028 4.623
angles (deg): 90.00 90.00 90.00
Atoms (fractional coordinates):
La: 0.000 0.000 0.000
Tl: 0.500 0.500 0.500
Rh: 0.000 0.500 0.500
Rh: 0.500 0.000 0.500
F: 0.500 0.500 0.000

Results
size of the total moment	0.0	μB per formula unit
space group	P4/mmm

(two)
LaTlRh2F | PBE-GGA | optimized geometry

a b c (Å): 4.931 4.931 6.145
angles (deg): 90.00 90.00 90.00
Atoms (fractional coordinates):
La: 0.000 0.000 0.000
Tl: 0.000 0.000 0.500
Rh: 0.000 0.500 0.500
Rh: 0.500 0.000 0.500
F: 0.500 0.500 0.000

Results
size of the total moment	0.3	μB per formula unit
space group	P4/mmm

Most favorable structure: (one). The second most favorable one is 68.6 kJ/mol of atoms above it.

(one)
La2RuF2 | PBE-GGA | optimized geometry

a b c (Å): 7.451 7.451 3.219
angles (deg): 90.00 90.00 90.00
Atoms (fractional coordinates):
La: 0.197 0.303 0.000
La: 0.303 0.803 0.000
La: 0.697 0.197 0.000
La: 0.803 0.697 0.000
Ru: 0.000 0.000 0.500
Ru: 0.500 0.500 0.500
F: 0.111 0.611 0.500
F: 0.389 0.111 0.500
F: 0.611 0.889 0.500
F: 0.889 0.389 0.500

Results
size of the total moment	0.0	μB per formula unit
space group	P4/mbm

(two)
La2RuF2 | PBE-GGA | optimized geometry

a b c (Å): 5.355 5.355 5.355
angles (deg): 125.70 125.70 80.38
Atoms (fractional coordinates):
La: 0.250 0.750 0.500
La: 0.750 0.250 0.500
Ru: 0.000 0.000 0.000
F: 0.347 0.347 0.000
F: 0.653 0.653 0.000

Results
size of the total moment	0.2	μB per formula unit
space group	I4/mmm

Most favorable structure: (one). The second most favorable one is 10.8 kJ/mol of atoms above it.

(one)
La2RuF | PBE-GGA | optimized geometry

a b c (Å): 4.944 4.944 4.944
angles (deg): 60.00 60.00 60.00
Atoms (fractional coordinates):
La: 0.250 0.250 0.250
La: 0.750 0.750 0.750
Ru: 0.000 0.000 0.000
F: 0.500 0.500 0.500

Results
size of the total moment	0.0	μB per formula unit
space group	Fm-3m

(two)
La2RuF | PBE-GGA | optimized geometry

a b c (Å): 8.135 8.135 8.135
angles (deg): 30.23 30.23 30.23
Atoms (fractional coordinates):
La: 0.102 0.102 0.102
La: 0.898 0.898 0.898
Ru: 0.500 0.500 0.500
F: 0.000 0.000 0.000

Results
size of the total moment	0.0	μB per formula unit
space group	R-3m

(three)
La2RuF | PBE-GGA | optimized geometry

a b c (Å): 7.729 7.729 7.729
angles (deg): 136.26 136.26 63.57
Atoms (fractional coordinates):
La: 0.114 0.625 0.989
La: 0.375 0.364 0.489
La: 0.636 0.125 0.011
La: 0.875 0.886 0.511
Ru: 0.250 0.750 0.500
Ru: 0.500 0.500 0.000
F: 0.000 0.000 0.000
F: 0.750 0.250 0.500

Results
size of the total moment	0.0	μB per formula unit
space group	I-42d

(four)
La2RuF | PBE-GGA | optimized geometry

a b c (Å): 8.174 8.174 8.174
angles (deg): 28.71 28.71 28.71
Atoms (fractional coordinates):
La: 0.000 0.000 0.000
La: 0.195 0.195 0.195
Ru: 0.606 0.606 0.606
F: 0.812 0.812 0.812

Results
size of the total moment	0.0	μB per formula unit
space group	R3m

Most favorable structure: (two). The second most favorable one is 8.0 kJ/mol of atoms above it.